DFT (PBE with a Hubbard U) results for a relaxed NaPrV4O12 crystal.

Properties
DFT total energy, eV/cell: -130.975
Total moment, μB per atom: 0.0000
N(E_F), states/eV per cell: 2.296

a b c (Å): 5.3209 5.3209 7.5495
angles (deg): 90.00 90.00 90.00
Closest atoms and distances in Å follow each position.
Fractional positions:
Na  0.5000  0.5000  0.5000  12 O 2.66-2.71
Pr  0.0000  0.0000  0.0000  12 O 2.62-2.66
V  0.0000  0.5000  0.7443  6 O 1.84-1.93
V  0.0000  0.5000  0.2557  6 O 1.84-1.93
V  0.5000  0.0000  0.7443  6 O 1.84-1.93
V  0.5000  0.0000  0.2557  6 O 1.84-1.93
O  0.2460  0.2460  0.2453  2 V 1.88
O  0.2460  0.2460  0.7547  2 V 1.88
O  0.7540  0.7540  0.7547  2 V 1.88
O  0.7540  0.7540  0.2453  2 V 1.88
O  0.7540  0.2460  0.7547  2 V 1.88
O  0.7540  0.2460  0.2453  2 V 1.88
O  0.2460  0.7540  0.7547  2 V 1.88
O  0.2460  0.7540  0.2453  2 V 1.88
O  0.0000  0.5000  0.5000  2 V 1.84
O  0.0000  0.5000  0.0000  2 V 1.93
O  0.5000  0.0000  0.5000  2 V 1.84
O  0.5000  0.0000  0.0000  2 V 1.93